(1)
Below is an optimized crystal structure of YPuNiOs, with properties calculated at the PBE level.

a b c (Å): 6.7813 6.7813 6.7813
angles (deg): 90.00 90.00 90.00
Space group F-43m (No. 216)
Symmetry-distinct sites (fractional):
1 Y 0.0000 0.0000 0.0000 x4
2 Pu 0.0000 0.0000 0.5000 x4
3 Ni 0.2500 0.2500 0.2500 x4
4 Os 0.2500 0.2500 0.7500 x4

Formation energy, eV per formula unit: -0.5
Total magnetic moment, μB per formula unit: 4.54

---

(2)
Below is an optimized crystal structure of RbNi3Os, with properties calculated at the PBE level.

a b c (Å): 4.4897 4.4897 4.4897
angles (deg): 90.00 90.00 90.00
Space group Pm-3m (No. 221)
Symmetry-distinct sites (fractional):
1 Rb 0.0000 0.0000 0.0000 x1
2 Ni 0.0000 0.0000 0.5000 x3
3 Os 0.5000 0.5000 0.5000 x1

Formation energy, eV per formula unit: 13.8
Total magnetic moment, μB per formula unit: 3.26

---

(3)
Below is an optimized crystal structure of RbNi3Os, with properties calculated at the PBE level.

a b c (Å): 4.6863 4.6863 4.6863
angles (deg): 90.00 90.00 90.00
Space group Pm-3m (No. 221)
Symmetry-distinct sites (fractional):
1 Rb 0.0000 0.0000 0.0000 x1
2 Ni 0.0000 0.5000 0.5000 x3
3 Os 0.5000 0.5000 0.5000 x1

Formation energy, eV per formula unit: 5.5
Total magnetic moment, μB per formula unit: 0.00

---

(4)
Below is an optimized crystal structure of Rb2NiOs, with properties calculated at the PBE level.

a b c (Å): 8.1108 8.1108 8.1108
angles (deg): 90.00 90.00 90.00
Space group Fm-3m (No. 225)
Symmetry-distinct sites (fractional):
1 Rb 0.2500 0.2500 0.2500 x8
2 Ni 0.0000 0.0000 0.0000 x4
3 Os 0.0000 0.0000 0.5000 x4

Formation energy, eV per formula unit: 7.9
Total magnetic moment, μB per formula unit: 3.97

---

(5)
Below is an optimized crystal structure of Rb2NiOs, with properties calculated at the PBE level.

a b c (Å): 12.6841 12.6841 4.5068
angles (deg): 90.00 90.00 90.00
Space group I-42d (No. 122)
Symmetry-distinct sites (fractional):
1 Rb 0.0573 0.2500 0.1250 x8
2 Ni 0.0000 0.0000 0.0000 x4
3 Os 0.0000 0.0000 0.5000 x4

Formation energy, eV per formula unit: 4.9
Total magnetic moment, μB per formula unit: 1.66

---

(6)
Below is an optimized crystal structure of RbNiOs2, with properties calculated at the PBE level.

a b c (Å): 4.8403 4.8403 17.1324
angles (deg): 90.00 90.00 90.00
Space group I-42d (No. 122)
Symmetry-distinct sites (fractional):
1 Rb 0.0000 0.0000 0.0000 x4
2 Ni 0.0000 0.0000 0.5000 x4
3 Os 0.0103 0.7500 0.6250 x8

Formation energy, eV per formula unit: 6.2
Total magnetic moment, μB per formula unit: 0.78

---

Number 4 is which compound? Rb2NiOs